The following is a DFT calculation (SCAN) of a PBEsol-optimized structure of ZrFeW2.

Lattice parameters (Å, degrees): 4.395 4.395 3.209 90.00 90.00 90.00
Atoms (fractional coordinates):
Zr (0.000, 0.000, 0.000)
Fe (0.500, 0.500, 0.000)
W (0.000, 0.500, 0.500)
W (0.500, 0.000, 0.500)

Values from the calculation:
Energy above the lowest structure with this stoichiometry (kJ/mol of atoms): 26.1
E_tot (eV per cell): -186.6
E_form (eV per atom): 0.394
Space group: P4/mmm, No. 123
DOS(E_F) (states/eV/atom): 0.7624